(1)
DFT (PBE) results for a relaxed structure of CsZr3H.

Output
Total energy, eV/atom: -5.24
D(E_F), states/eV/cell: 2.947

Structure (CIF):
```
data_CsZr3H
_chemical_formula_sum 'Cs1 Zr3 H1'
_cell_length_a 4.713
_cell_length_b 4.713
_cell_length_c 4.713
_cell_angle_alpha 90.00
_cell_angle_beta 90.00
_cell_angle_gamma 90.00
_symmetry_space_group_name_H-M 'P 1'
_symmetry_Int_Tables_number 1
loop_
_symmetry_equiv_pos_as_xyz
'x,y,z'
loop_
_atom_site_label
_atom_site_fract_x
_atom_site_fract_y
_atom_site_fract_z
Cs1 0.500 0.500 0.500
H1 0.000 0.000 0.000
Zr1 0.000 0.500 0.000
Zr2 0.000 0.000 0.500
Zr3 0.500 0.000 0.000
```

(2)
DFT (PBE) results for a relaxed structure of Mg2Ga2Cu5Ge.

Output
Total energy, eV/atom: -3.46
D(E_F), states/eV/cell: 7.371

Structure (CIF):
```
data_Mg2Ga2Cu5Ge
_chemical_formula_sum 'Mg4 Ga4 Cu10 Ge2'
_cell_length_a 3.675
_cell_length_b 9.153
_cell_length_c 9.153
_cell_angle_alpha 90.00
_cell_angle_beta 90.00
_cell_angle_gamma 90.00
_symmetry_space_group_name_H-M 'P 1'
_symmetry_Int_Tables_number 1
loop_
_symmetry_equiv_pos_as_xyz
'x,y,z'
loop_
_atom_site_label
_atom_site_fract_x
_atom_site_fract_y
_atom_site_fract_z
Mg1 0.000 0.673 0.173
Mg2 0.000 0.327 0.827
Mg3 0.000 0.173 0.327
Mg4 0.000 0.827 0.673
Ga1 0.000 0.126 0.626
Ga2 0.000 0.874 0.374
Ga3 0.000 0.626 0.874
Ga4 0.000 0.374 0.126
Cu1 0.500 0.200 0.059
Cu2 0.500 0.800 0.941
Cu3 0.500 0.059 0.800
Cu4 0.500 0.700 0.441
Cu5 0.500 0.941 0.200
Cu6 0.500 0.300 0.559
Cu7 0.500 0.559 0.700
Cu8 0.500 0.441 0.300
Cu9 0.500 0.500 0.000
Cu10 0.500 0.000 0.500
Ge1 0.000 0.000 0.000
Ge2 0.000 0.500 0.500
```

(3)
DFT (PBE) results for a relaxed structure of YMg2P.

Output
Total energy, eV/atom: -4.17
D(E_F), states/eV/cell: 1.279

Structure (CIF):
```
data_YMg2P
_chemical_formula_sum 'Y1 Mg2 P1'
_cell_length_a 6.467
_cell_length_b 6.467
_cell_length_c 4.049
_cell_angle_alpha 71.71
_cell_angle_beta 71.71
_cell_angle_gamma 127.70
_symmetry_space_group_name_H-M 'P 1'
_symmetry_Int_Tables_number 1
loop_
_symmetry_equiv_pos_as_xyz
'x,y,z'
loop_
_atom_site_label
_atom_site_fract_x
_atom_site_fract_y
_atom_site_fract_z
Mg1 0.000 0.000 0.000
Mg2 0.500 0.500 0.000
P1 0.500 0.000 0.500
Y1 0.000 0.500 0.500
```